A plane-wave DFT calculation with PBE-GGA was carried out for crystalline Ba2Ni2Se at its relaxed geometry.

Output
formation energy (no corrections) = -0.451 eV/atom
density of states at the Fermi level = 4.7 states/eV per cell
SG = I4/mmm, No. 139

Cell lengths 9.3735, 9.3735, 9.3735 Å; angles 156.57, 156.57, 33.38 degrees
With the nearest neighbours (Å) after each atom.
Element x y z (fractional)
Ba: 0.3907 0.3907 0.0000  4 Ni 3.16, 4 Se 3.33
Ni: 0.7500 0.2500 0.5000  4 Ni 2.69
Ni: 0.2500 0.7500 0.5000  4 Ni 2.69
Se: 0.0000 0.0000 0.0000  8 Ba 3.33
Ba: 0.6093 0.6093 0.0000  4 Ni 3.16, 4 Se 3.33

A plane-wave DFT calculation with PBE-GGA was carried out for crystalline Ba2NiSe at its relaxed geometry.

Output
formation energy (no corrections) = -0.774 eV/atom
SG = Cm, No. 8

Cell lengths 6.4167, 6.4167, 5.0175 Å; angles 90.12, 90.12, 38.66 degrees
With the nearest neighbours (Å) after each atom.
Element x y z (fractional)
Ba: 0.7398 0.7398 0.6263  1 Ni 3.10, 4 Se 3.32
Ba: 0.0002 0.0002 0.1248  4 Ni 3.28-3.30, 3 Se 3.35-3.44
Se: 0.2765 0.2765 0.1270  7 Ba 3.32-3.44, 2 Ni 3.52-3.57
Ni: 0.4834 0.4834 0.6218  5 Ba 3.10-3.30